[1]
! MnCu3N (SCAN, single point on PBEsol structure); values from VASP
! raw formation energy = 0.311 eV/atom
! symmetry = Pm-3m (221)
! calculated volume = 56.67 Å³/f.u.
&SYSTEM
  ibrav = 0, nat = 5, ntyp = 3
/
ATOMIC_SPECIES
Mn 54.94 Mn.upf
Cu 63.55 Cu.upf
N 14.01 N.upf
CELL_PARAMETERS angstrom
3.8411 0.0000 0.0000
0.0000 3.8411 0.0000
0.0000 0.0000 3.8411
ATOMIC_POSITIONS angstrom
Mn 1.9206 1.9206 1.9206
Cu 0.0000 1.9206 0.0000
Cu 0.0000 0.0000 1.9206
N 0.0000 0.0000 0.0000
Cu 1.9206 0.0000 0.0000



[2]
! MnCuN2O (SCAN, single point on PBEsol structure); values from VASP
! raw formation energy = 0.738 eV/atom
! symmetry = P4/mmm (123)
! calculated volume = 50.87 Å³/f.u.
&SYSTEM
  ibrav = 0, nat = 5, ntyp = 4
/
ATOMIC_SPECIES
Mn 54.94 Mn.upf
Cu 63.55 Cu.upf
O 16.00 O.upf
N 14.01 N.upf
CELL_PARAMETERS angstrom
-2.7597 1.2085 -2.1260
2.0397 -0.6309 -3.0063
-1.3688 -3.4763 -0.1992
ATOMIC_POSITIONS angstrom
Mn -1.0444 -1.4494 -2.6657
Cu 0.0000 0.0000 0.0000
O -0.6844 -1.7382 -0.0996
N -1.3798 0.6042 -1.0630
N 1.0199 -0.3154 -1.5031



[3]
! MnCuP2N (SCAN, single point on PBEsol structure); values from VASP
! raw formation energy = 0.516 eV/atom
! symmetry = P4/mmm (123)
! calculated volume = 61.27 Å³/f.u.
&SYSTEM
  ibrav = 0, nat = 5, ntyp = 4
/
ATOMIC_SPECIES
Mn 54.94 Mn.upf
P 30.97 P.upf
N 14.01 N.upf
Cu 63.55 Cu.upf
CELL_PARAMETERS angstrom
3.7300 0.0000 0.0000
0.0000 4.0529 0.0000
0.0000 0.0000 4.0529
ATOMIC_POSITIONS angstrom
Mn 1.8650 0.0000 0.0000
P 0.0000 2.0264 0.0000
N 0.0000 0.0000 0.0000
P 0.0000 0.0000 2.0264
Cu 1.8650 2.0264 2.0264



[4]
! Na2TaMnCu (SCAN, single point on PBEsol structure); values from VASP
! symmetry = P4/mmm (123)
! calculated volume = 147.52 Å³/f.u.
! energy relative to the elements = 1723 meV/atom
&SYSTEM
  ibrav = 0, nat = 5, ntyp = 4
/
ATOMIC_SPECIES
Ta 180.95 Ta.upf
Na 22.99 Na.upf
Cu 63.55 Cu.upf
Mn 54.94 Mn.upf
CELL_PARAMETERS angstrom
4.6704 0.0000 0.0000
0.0000 5.6201 0.0000
0.0000 0.0000 5.6201
ATOMIC_POSITIONS angstrom
Ta 0.0000 0.0000 0.0000
Na 0.0000 0.0000 2.8101
Cu 2.3352 0.0000 0.0000
Na 0.0000 2.8101 0.0000
Mn 2.3352 2.8101 2.8101



[5]
! NaMnZnCu2 (SCAN, single point on PBEsol structure); values from VASP
! symmetry = P4/mmm (123)
! calculated volume = 96.14 Å³/f.u.
! energy relative to the elements = 511 meV/atom
&SYSTEM
  ibrav = 0, nat = 5, ntyp = 4
/
ATOMIC_SPECIES
Cu 63.55 Cu.upf
Zn 65.41 Zn.upf
Na 22.99 Na.upf
Mn 54.94 Mn.upf
CELL_PARAMETERS angstrom
-1.4806 1.0636 4.1572
1.2354 -4.1059 1.4904
4.2237 1.6625 1.0789
ATOMIC_POSITIONS angstrom
Cu 0.6177 -2.0529 0.7452
Cu -0.7403 0.5318 2.0786
Zn 0.0000 0.0000 0.0000
Na 1.9893 -0.6899 3.3633
Mn 2.1118 0.8313 0.5395



[6]
! MnNbCu2Pb (SCAN, single point on PBEsol structure); values from VASP
! symmetry = P4/mmm (123)
! calculated volume = 115.70 Å³/f.u.
! energy relative to the elements = 1247 meV/atom
&SYSTEM
  ibrav = 0, nat = 5, ntyp = 4
/
ATOMIC_SPECIES
Cu 63.55 Cu.upf
Nb 92.91 Nb.upf
Pb 207.20 Pb.upf
Mn 54.94 Mn.upf
CELL_PARAMETERS angstrom
4.6762 0.0000 0.0000
0.0000 4.6762 0.0000
0.0000 0.0000 5.2910
ATOMIC_POSITIONS angstrom
Cu 0.0000 2.3381 0.0000
Cu 2.3381 0.0000 0.0000
Nb 0.0000 0.0000 2.6455
Pb 0.0000 0.0000 0.0000
Mn 2.3381 2.3381 2.6455



[7]
! MnNb2ZnCu (SCAN, single point on PBEsol structure); values from VASP
! symmetry = P4/mmm (123)
! calculated volume = 87.66 Å³/f.u.
! energy relative to the elements = 855 meV/atom
&SYSTEM
  ibrav = 0, nat = 5, ntyp = 4
/
ATOMIC_SPECIES
Cu 63.55 Cu.upf
Nb 92.91 Nb.upf
Mn 54.94 Mn.upf
Zn 65.41 Zn.upf
CELL_PARAMETERS angstrom
-3.9151 -1.4973 -1.4748
1.6405 -4.1240 -0.1680
-1.3121 -0.6925 4.1864
ATOMIC_POSITIONS angstrom
Cu -1.9576 -0.7486 -0.7374
Nb -0.6561 -0.3462 2.0932
Mn 0.0000 0.0000 0.0000
Nb 0.8202 -2.0620 -0.0840
Zn -1.7934 -3.1569 1.2718



[8]
! MnCu2Ni (SCAN, single point on PBEsol structure); values from VASP
! symmetry = Pmm2 (25)
! calculated volume = 45.88 Å³/f.u.
! energy relative to the elements = -122 meV/atom
&SYSTEM
  ibrav = 0, nat = 4, ntyp = 3
/
ATOMIC_SPECIES
Cu 63.55 Cu.upf
Ni 58.69 Ni.upf
Mn 54.94 Mn.upf
CELL_PARAMETERS angstrom
-1.1159 1.8859 -1.4534
-1.8923 0.9449 2.6791
3.6596 3.2691 1.4319
ATOMIC_POSITIONS angstrom
Cu 1.2685 3.8921 1.6977
Cu 3.6558 3.2656 1.4304
Ni -0.5824 2.2387 0.9735
Mn 1.7990 1.6070 0.7039